DFT (PBE-GGA) results for crystalline SiNiMo2H at its relaxed geometry.

Properties
As for the total energy: -7.274 eV/atom.

Cell: 4.1650 4.1650 3.2994 Å, 90.00 90.00 90.00°
With the nearest neighbours (Å) after each atom.
Atoms (fractional coordinates):
Mo 0.0000 0.5000 0.0000  2 H 2.08
Mo 0.5000 0.0000 0.0000  2 H 2.08
Ni 0.0000 0.0000 0.5000  2 H 1.65
H 0.0000 0.0000 0.0000  2 Ni 1.65
Si 0.5000 0.5000 0.5000  8 Mo 2.66, 4 Ni 2.95